[1]
Entry from Alexandria: a relaxed structure of LiBe2As (PBE-GGA).

## Properties
E_tot	-3.208	eV/atom
D(E_F)	3.21	states/eV per cell
relative energy among the computed polymorphs	219	meV/atom
ΔH_f (0 K)	28.6	kJ/mol of atoms

extended XYZ file:
```
8
Lattice="7.0688 0.0000 0.0000 0.0000 7.0688 0.0000 3.5344 3.5344 2.4001" Properties=species:S:1:pos:R:3 pbc="T T T"
Be 5.7955 1.7672 0.6000
Be 1.2733 5.3016 0.6000
Be 5.3016 4.8077 1.8001
Be 8.8360 9.3299 1.8001
As 0.0000 0.0000 0.0000
As 7.0688 3.5344 1.2001
Li 3.5344 3.5344 0.0000
Li 3.5344 7.0688 1.2001
```

[2]
Entry from Alexandria: a relaxed structure of Li2BeAs2 (PBE-GGA).

## Properties
E_tot	-3.708	eV/atom
D(E_F)	0.77	states/eV per cell
relative energy among the computed polymorphs	0	meV/atom
ΔH_f (0 K)	-32.6	kJ/mol of atoms

extended XYZ file:
```
10
Lattice="-0.0490 -3.9528 -4.7172 -0.7290 -4.6804 3.9295 -4.2285 0.4083 -0.2982" Properties=species:S:1:pos:R:3 pbc="T T T"
Be 0.0000 0.0000 0.0000
Be -0.3890 -4.3166 -0.3938
As -0.6413 -5.4107 1.6846
As -0.5117 -6.3980 -1.5043
As -0.1368 -3.2225 -2.4723
As -0.2664 -2.2352 0.7167
Li -2.6103 -3.5947 1.6826
Li -2.7529 -6.3297 -0.0391
Li -2.3964 -4.6301 -2.7684
Li -2.2537 -1.8952 -1.0467
```

[3]
Entry from Alexandria: a relaxed structure of Li2BeAs (PBE-GGA).

## Properties
E_tot	-3.142	eV/atom
D(E_F)	1.18	states/eV per cell
relative energy among the computed polymorphs	142	meV/atom
ΔH_f (0 K)	-8.8	kJ/mol of atoms

extended XYZ file:
```
4
Lattice="4.8388 0.2320 0.1753 3.8885 2.8891 0.1753 0.8454 0.3023 4.6011" Properties=species:S:1:pos:R:3 pbc="T T T"
As 5.0999 1.8239 2.4849
Be 2.1027 0.7520 1.1588
Li 8.5107 3.0436 0.5541
Li 7.3732 2.6368 3.5802
```

[4]
Entry from Alexandria: a relaxed structure of LiBe2As (PBE-GGA).

## Properties
E_tot	-3.122	eV/atom
D(E_F)	1.85	states/eV per cell
relative energy among the computed polymorphs	305	meV/atom
ΔH_f (0 K)	36.9	kJ/mol of atoms

extended XYZ file:
```
4
Lattice="0.0000 2.9506 2.9506 2.9506 0.0000 2.9506 2.9506 2.9506 0.0000" Properties=species:S:1:pos:R:3 pbc="T T T"
Be 1.4753 1.4753 1.4753
Be 4.4258 4.4258 4.4258
As 2.9506 2.9506 2.9506
Li 0.0000 0.0000 0.0000
```

[5]
Entry from Alexandria: a relaxed structure of LiBeAs2 (PBE-GGA).

## Properties
E_tot	-3.563	eV/atom
D(E_F)	1.75	states/eV per cell
relative energy among the computed polymorphs	384	meV/atom
ΔH_f (0 K)	16.6	kJ/mol of atoms

extended XYZ file:
```
4
Lattice="-2.0116 -1.5042 1.1124 1.4152 -0.6792 2.2545 -3.3424 7.7471 4.4319" Properties=species:S:1:pos:R:3 pbc="T T T"
As -3.0977 7.1801 4.1075
As -1.4570 1.5942 3.2199
Be -1.7034 3.9482 2.2587
Li -2.6942 4.4618 4.8604
```

[6]
Entry from Alexandria: a relaxed structure of Li2BeAs (PBE-GGA).

## Properties
E_tot	-3.027	eV/atom
D(E_F)	1.17	states/eV per cell
relative energy among the computed polymorphs	257	meV/atom
ΔH_f (0 K)	2.3	kJ/mol of atoms

extended XYZ file:
```
4
Lattice="2.7287 0.0040 0.0000 -0.0036 2.7287 0.0000 0.0000 0.0000 7.7360" Properties=species:S:1:pos:R:3 pbc="T T T"
As 1.3626 1.3663 1.9340
Be 1.3626 1.3663 5.8020
Li 0.0000 0.0000 7.6944
Li 0.0000 0.0000 3.9097
```